Record 1
Below is crystalline La2HgBi2 at its relaxed geometry, with properties calculated at the PBEsol level.

Cell: 6.383 6.383 6.383 Å, 121.11 121.11 88.09°
Fractional coordinates of all 5 atoms:
La1 0.250 0.750 0.500
La2 0.750 0.250 0.500
Hg1 0.000 0.000 0.000
Bi1 0.323 0.323 0.000
Bi2 0.677 0.677 0.000

Properties
The space group is I4/mmm. For the density of states at the Fermi level, the calculation gives 5.1 states/eV/cell. The magnetic moment comes out at 0.142 μB/atom. The value obtained for the formation energy is -375 meV/atom.



Record 2
Below is crystalline Li2HgBi at its relaxed geometry, with properties calculated at the PBEsol level.

Cell: 4.821 4.821 4.821 Å, 60.00 60.00 60.00°
Fractional coordinates of all 4 atoms:
Li1 0.250 0.250 0.250
Li2 0.750 0.750 0.750
Hg1 0.000 0.000 0.000
Bi1 0.500 0.500 0.500

Properties
The space group is Fm-3m. For the density of states at the Fermi level, the calculation gives 0.7 states/eV/cell. The magnetic moment comes out at 0.000 μB/atom. The value obtained for the formation energy is -427 meV/atom.



Record 3
Below is crystalline Li2Hg2Bi at its relaxed geometry, with properties calculated at the PBEsol level.

Cell: 8.087 8.087 3.217 Å, 90.00 90.00 90.00°
Fractional coordinates of all 10 atoms:
Li1 0.166 0.334 0.000
Li2 0.334 0.834 0.000
Li3 0.666 0.166 0.000
Li4 0.834 0.666 0.000
Hg1 0.129 0.629 0.500
Hg2 0.371 0.129 0.500
Hg3 0.629 0.871 0.500
Hg4 0.871 0.371 0.500
Bi1 0.000 0.000 0.500
Bi2 0.500 0.500 0.500

Properties
The space group is P4/mbm. For the density of states at the Fermi level, the calculation gives 3.9 states/eV/cell. The magnetic moment comes out at 0.000 μB/atom. The value obtained for the formation energy is -335 meV/atom.